(1)
Ac4GaNi | the Alexandria database | PBE-GGA | relaxed; space-group type = P2_1/m; magnetization = 0.000 μB per atom; final energy = -53.0 eV for the cell shown
1.0
6.782 0.000 0.000
0.000 7.490 0.000
-2.793 0.000 8.209
Ac Ga Ni
8 2 2
Direct
0.009 0.002 0.228
0.009 0.498 0.228
0.430 0.250 0.625
0.452 0.250 0.095
0.548 0.750 0.905
0.570 0.750 0.375
0.991 0.502 0.772
0.991 0.998 0.772
0.200 0.750 0.550
0.800 0.250 0.450
0.214 0.750 0.055
0.786 0.250 0.945

(2)
Ca2ScRe | the Alexandria database | PBE-GGA | relaxed; space-group type = I-42d; magnetization = 0.000 μB per atom; final energy = -77.0 eV for the cell shown
1.0
4.219 0.000 0.000
0.000 4.219 0.000
0.000 0.000 21.738
Ca Sc Re
8 4 4
Direct
0.230 0.250 0.125
0.250 0.730 0.375
0.250 0.770 0.875
0.270 0.250 0.625
0.730 0.750 0.625
0.750 0.230 0.875
0.750 0.270 0.375
0.770 0.750 0.125
0.000 0.000 0.500
0.000 0.500 0.750
0.500 0.000 0.250
0.500 0.500 0.000
0.000 0.000 0.000
0.000 0.500 0.250
0.500 0.000 0.750
0.500 0.500 0.500

(3)
Mo4Br5 | the Alexandria database | PBE-GGA | relaxed; space-group type = P6_3/mcm; magnetization = 1.098 μB per atom; final energy = -86.0 eV for the cell shown
1.0
8.214 0.000 0.000
-4.107 7.114 0.000
0.000 0.000 7.129
Mo Br
8 10
Direct
0.000 0.000 0.000
0.000 0.000 0.500
0.000 0.369 0.250
0.000 0.631 0.750
0.369 0.000 0.250
0.369 0.369 0.750
0.631 0.000 0.750
0.631 0.631 0.250
0.000 0.257 0.750
0.000 0.743 0.250
0.257 0.000 0.750
0.257 0.257 0.250
0.333 0.667 0.000
0.333 0.667 0.500
0.667 0.333 0.000
0.667 0.333 0.500
0.743 0.000 0.250
0.743 0.743 0.750

(4)
TaIr2Cl | the Alexandria database | PBE-GGA | relaxed; space-group type = P4/mmm; magnetization = 0.000 μB per atom; final energy = -28.3 eV for the cell shown
1.0
4.129 0.000 0.000
0.000 4.129 0.000
0.000 0.000 3.814
Ta Ir Cl
1 2 1
Direct
0.000 0.000 0.000
0.000 0.500 0.500
0.500 0.000 0.500
0.500 0.500 0.000

(5)
CdCoNi4 | the Alexandria database | PBE-GGA | relaxed; space-group type = F-43m; magnetization = 0.621 μB per atom; final energy = -30.1 eV for the cell shown
1.0
0.000 3.363 3.363
3.363 0.000 3.363
3.363 3.363 0.000
Cd Co Ni
1 1 4
Direct
0.000 0.000 0.000
0.750 0.750 0.750
0.375 0.375 0.375
0.375 0.375 0.874
0.375 0.874 0.375
0.874 0.375 0.375

(6)
NaTiS2 | the Alexandria database | PBE-GGA | relaxed; space-group type = I-42d; magnetization = 0.250 μB per atom; final energy = -88.4 eV for the cell shown
1.0
6.185 0.000 0.000
0.000 6.185 0.000
0.000 0.000 10.598
Na Ti S
4 4 8
Direct
0.000 0.000 0.000
0.000 0.500 0.250
0.500 0.000 0.750
0.500 0.500 0.500
0.000 0.000 0.500
0.000 0.500 0.750
0.500 0.000 0.250
0.500 0.500 0.000
0.188 0.250 0.625
0.250 0.688 0.875
0.250 0.812 0.375
0.312 0.250 0.125
0.688 0.750 0.125
0.750 0.188 0.375
0.750 0.312 0.875
0.812 0.750 0.625

(7)
Ca3Pu2MgN6 | the Alexandria database | PBE-GGA | relaxed; space-group type = C2/m; magnetization = 0.500 μB per atom; final energy = -99.1 eV for the cell shown
1.0
2.948 -5.112 0.000
2.948 5.112 0.000
-1.951 0.000 5.639
Ca Pu Mg N
3 2 1 6
Direct
0.000 0.000 0.000
0.338 0.662 0.000
0.662 0.338 0.000
0.167 0.833 0.500
0.833 0.167 0.500
0.500 0.500 0.500
0.075 0.428 0.285
0.222 0.222 0.719
0.428 0.075 0.285
0.572 0.925 0.715
0.778 0.778 0.281
0.925 0.572 0.715

(8)
Ce3PN6 | the Alexandria database | PBE-GGA | relaxed; space-group type = Cmc2_1; magnetization = 0.000 μB per atom; final energy = -168.3 eV for the cell shown
1.0
4.551 -5.754 0.000
4.551 5.754 0.000
0.000 0.000 5.416
Ce P N
6 2 12
Direct
0.106 0.894 0.500
0.197 0.412 0.527
0.412 0.197 0.027
0.588 0.803 0.527
0.803 0.588 0.027
0.894 0.106 0.000
0.307 0.693 0.071
0.693 0.307 0.571
0.101 0.613 0.208
0.151 0.167 0.270
0.167 0.151 0.770
0.289 0.711 0.768
0.387 0.899 0.208
0.443 0.557 0.171
0.557 0.443 0.671
0.613 0.101 0.708
0.711 0.289 0.268
0.833 0.849 0.270
0.849 0.833 0.770
0.899 0.387 0.708

(9)
CaAcEuDy | the Alexandria database | PBE-GGA | relaxed; space-group type = F-43m; magnetization = 1.812 μB per atom; final energy = -82.2 eV for the cell shown
1.0
8.589 0.000 0.000
0.000 8.589 0.000
0.000 0.000 8.589
Ca Ac Eu Dy
4 4 4 4
Direct
0.000 0.000 0.000
0.000 0.500 0.500
0.500 0.000 0.500
0.500 0.500 0.000
0.250 0.250 0.250
0.250 0.750 0.750
0.750 0.250 0.750
0.750 0.750 0.250
0.250 0.250 0.750
0.250 0.750 0.250
0.750 0.250 0.250
0.750 0.750 0.750
0.000 0.000 0.500
0.000 0.500 0.000
0.500 0.000 0.000
0.500 0.500 0.500

(10)
MnCdOs2 | the Alexandria database | PBE-GGA | relaxed; space-group type = Pmm2; magnetization = 0.887 μB per atom; final energy = -31.2 eV for the cell shown
1.0
2.823 0.000 0.000
0.000 3.853 0.000
0.000 0.000 5.743
Mn Cd Os
1 1 2
Direct
0.000 0.000 0.000
0.500 0.500 0.738
0.000 0.000 0.439
0.500 0.500 0.242

(11)
Cu3TcF | the Alexandria database | PBE-GGA | relaxed; space-group type = Pm-3m; magnetization = 0.637 μB per atom; final energy = -21.5 eV for the cell shown
1.0
4.100 0.000 0.000
0.000 4.100 0.000
0.000 0.000 4.100
Cu Tc F
3 1 1
Direct
0.000 0.000 0.500
0.000 0.500 0.000
0.500 0.000 0.000
0.500 0.500 0.500
0.000 0.000 0.000

(12)
InTc2Te | the Alexandria database | PBE-GGA | relaxed; space-group type = I-42d; magnetization = 0.345 μB per atom; final energy = -91.9 eV for the cell shown
1.0
7.450 0.000 0.000
0.000 7.450 0.000
0.000 0.000 5.910
In Tc Te
4 8 4
Direct
0.000 0.000 0.000
0.000 0.500 0.250
0.500 0.000 0.750
0.500 0.500 0.500
0.210 0.250 0.625
0.250 0.710 0.875
0.250 0.790 0.375
0.290 0.250 0.125
0.710 0.750 0.125
0.750 0.210 0.375
0.750 0.290 0.875
0.790 0.750 0.625
0.000 0.000 0.500
0.000 0.500 0.750
0.500 0.000 0.250
0.500 0.500 0.000